No. 1
GGA-PBE BC, relaxed; energy of formation from the pure elements = 0.3886 eV per atom; ΔE to the lowest computed polymorph = 238 meV/atom
1.0
-1.237 1.601 1.504
-3.647 -3.231 0.441
3.521 -2.134 5.168
B C
6 6
Direct
0.500 0.193 0.905
0.000 0.673 0.657
0.000 0.980 0.020
0.000 0.323 0.335
0.500 0.537 0.232
0.000 0.304 0.610
0.000 0.642 0.907
0.500 0.518 0.989
0.000 0.990 0.269
0.500 0.140 0.665
0.500 0.852 0.571
0.500 0.847 0.339



No. 2
GGA-PBE B3C5, relaxed; energy of formation from the pure elements = 0.3449 eV per atom; ΔE to the lowest computed polymorph = 71 meV/atom
1.0
2.613 -3.989 0.000
2.613 3.989 0.000
0.000 0.000 2.479
B C
3 5
Direct
0.644 0.356 0.500
0.993 0.007 0.000
0.484 0.516 0.000
0.615 0.886 0.000
0.014 0.505 0.500
0.114 0.385 0.000
0.142 0.858 0.500
0.495 0.986 0.500



No. 3
GGA-PBE B7C5, relaxed; energy of formation from the pure elements = 0.4261 eV per atom; ΔE to the lowest computed polymorph = 262 meV/atom
1.0
-0.225 1.029 -2.486
1.536 -2.179 0.425
-12.497 -9.339 -2.737
B C
7 5
Direct
0.333 0.667 0.500
0.333 0.667 0.233
0.667 0.333 0.812
0.000 0.000 0.872
0.000 0.000 0.983
0.667 0.333 0.346
0.667 0.333 0.701
0.000 0.000 0.389
0.667 0.333 0.243
0.333 0.667 0.699
0.333 0.667 0.985
0.000 0.000 0.486



No. 4
GGA-PBE B7C5, relaxed; energy of formation from the pure elements = 0.3353 eV per atom; ΔE to the lowest computed polymorph = 171 meV/atom
1.0
2.657 0.000 0.000
-1.329 2.301 0.000
0.000 0.000 17.161
B C
7 5
Direct
0.000 0.000 0.913
0.000 0.000 0.287
0.000 0.000 0.523
0.333 0.667 0.754
0.667 0.333 0.187
0.333 0.667 0.128
0.667 0.333 0.854
0.667 0.333 0.762
0.333 0.667 0.036
0.000 0.000 0.005
0.333 0.667 0.523
0.667 0.333 0.279



No. 5
GGA-PBE B7C5, relaxed; energy of formation from the pure elements = 0.3770 eV per atom; ΔE to the lowest computed polymorph = 213 meV/atom
1.0
4.230 0.070 -6.054
-0.093 2.747 -7.121
-0.084 -0.097 7.632
C B
5 7
Direct
0.197 0.180 0.017
0.137 0.456 0.681
0.630 0.966 0.663
0.506 0.496 0.010
0.610 0.611 0.000
0.487 0.140 0.347
0.991 0.662 0.329
0.585 0.856 0.730
0.202 0.787 0.415
0.979 0.968 0.010
0.504 0.286 0.218
0.923 0.342 0.581



No. 6
GGA-PBE B7C5, relaxed; energy of formation from the pure elements = 0.3667 eV per atom; ΔE to the lowest computed polymorph = 202 meV/atom
1.0
-0.303 -2.654 0.128
3.100 -0.177 3.661
-4.619 0.863 6.945
C B
5 7
Direct
0.000 0.416 0.905
0.500 0.561 0.155
0.000 0.835 0.556
0.500 0.670 0.310
0.500 0.657 0.621
0.500 0.413 0.509
0.000 0.763 0.375
0.500 0.499 0.812
0.000 0.118 0.032
0.000 0.498 0.082
0.500 0.906 0.115
0.000 0.164 0.528



No. 7
GGA-PBE BC, relaxed; energy of formation from the pure elements = 0.4350 eV per atom; ΔE to the lowest computed polymorph = 284 meV/atom
1.0
-7.882 -6.547 5.507
-6.057 -6.679 7.351
-7.730 -4.691 7.318
C B
5 5
Direct
0.000 0.000 0.000
0.600 0.600 0.600
0.559 0.559 0.559
0.346 0.346 0.346
0.746 0.746 0.746
0.204 0.204 0.204
0.791 0.791 0.791
0.953 0.953 0.953
0.395 0.395 0.395
0.155 0.155 0.155



No. 8
GGA-PBE B7C5, relaxed; energy of formation from the pure elements = 0.3820 eV per atom; ΔE to the lowest computed polymorph = 218 meV/atom
1.0
-3.326 -0.386 -3.359
-3.655 -2.680 -0.340
-1.568 4.183 3.177
C B
5 7
Direct
0.681 0.668 0.316
0.907 0.403 0.074
0.678 0.656 0.839
0.010 0.013 0.498
0.590 0.050 0.931
0.250 0.438 0.802
0.280 0.361 0.128
0.881 0.439 0.565
0.971 0.984 0.985
0.279 0.733 0.706
0.314 0.712 0.306
0.659 0.043 0.352



Repeat the second record exactly.
GGA-PBE B3C5, relaxed; energy of formation from the pure elements = 0.3449 eV per atom; ΔE to the lowest computed polymorph = 71 meV/atom
1.0
2.613 -3.989 0.000
2.613 3.989 0.000
0.000 0.000 2.479
B C
3 5
Direct
0.644 0.356 0.500
0.993 0.007 0.000
0.484 0.516 0.000
0.615 0.886 0.000
0.014 0.505 0.500
0.114 0.385 0.000
0.142 0.858 0.500
0.495 0.986 0.500